Here is a geometry-optimized SmLuCdAu structure from the Alexandria database. Energies are from PBE. Values from VASP.

Quantum ESPRESSO input file:
```
&SYSTEM
  ibrav = 0, nat = 16, ntyp = 4
/
ATOMIC_SPECIES
Sm 150.36 Sm.upf
Lu 174.97 Lu.upf
Cd 112.41 Cd.upf
Au 196.97 Au.upf
CELL_PARAMETERS angstrom
7.3398 0.0000 0.0000
0.0000 7.3398 0.0000
0.0000 0.0000 7.3398
ATOMIC_POSITIONS crystal
Sm 0.0000 0.0000 0.0000
Sm 0.0000 0.5000 0.5000
Sm 0.5000 0.0000 0.5000
Sm 0.5000 0.5000 0.0000
Lu 0.0000 0.0000 0.5000
Lu 0.0000 0.5000 0.0000
Lu 0.5000 0.0000 0.0000
Lu 0.5000 0.5000 0.5000
Cd 0.2500 0.2500 0.7500
Cd 0.2500 0.7500 0.2500
Cd 0.7500 0.2500 0.2500
Cd 0.7500 0.7500 0.7500
Au 0.2500 0.2500 0.2500
Au 0.2500 0.7500 0.7500
Au 0.7500 0.2500 0.7500
Au 0.7500 0.7500 0.2500
```

Output
- Formation energy from the elements: -2.163 eV/f.u.